Record 1
BAsIrBr2 | GGA-PBEsol | relaxed

Cell: 4.3627 4.3627 4.3905 Å, 90.00 90.00 90.00°
Sites, in units of the cell vectors:
B1 0.0000 0.0000 0.0000
As1 0.0000 0.0000 0.5000
Ir1 0.5000 0.5000 0.5000
Br1 0.0000 0.5000 0.0000
Br2 0.5000 0.0000 0.0000

Values from the calculation:
Density of states at the Fermi level ... 0.99 states/eV/atom
SG ... P4/mmm (123)
Magnetic moment ... 0.01 μB per formula unit
Final energy ... -0.2799 Ry/atom
Formation energy without anion corrections ... 6.64 eV/f.u.

Record 2
CaZrW2 | GGA-PBEsol | relaxed

Cell: 2.7152 4.8936 5.9511 Å, 90.00 90.00 90.00°
Sites, in units of the cell vectors:
Ca1 0.0000 0.0000 0.0000
Zr1 0.0000 0.0000 0.5000
W1 0.5000 0.5000 0.2855
W2 0.5000 0.5000 0.7145

Values from the calculation:
Density of states at the Fermi level ... 0.82 states/eV/atom
SG ... Pmmm (47)
Magnetic moment ... 0.00 μB per formula unit
Final energy ... -0.6606 Ry/atom
ΔE_f ... 0.722 eV/atom

Record 3
HgTe2Pt | GGA-PBEsol | relaxed

Cell: 3.3110 3.3110 9.7417 Å, 90.00 90.00 109.94°
Sites, in units of the cell vectors:
Hg1 0.0000 0.0000 0.0000
Te1 0.5000 0.5000 0.3073
Te2 0.5000 0.5000 0.6927
Pt1 0.0000 0.0000 0.5000

Values from the calculation:
Density of states at the Fermi level ... 0.48 states/eV/atom
SG ... Cmmm (65)
Magnetic moment ... 0.00 μB per formula unit
Final energy ... -0.2623 Ry/atom
Formation energy without anion corrections ... 0.31 eV/f.u.

Record 4
RePNCl2 | GGA-PBEsol | relaxed

Cell: 4.7920 4.7920 4.5458 Å, 90.00 90.00 90.00°
Sites, in units of the cell vectors:
Re1 0.0000 0.0000 0.0000
P1 0.0000 0.0000 0.5000
N1 0.5000 0.5000 0.5000
Cl1 0.0000 0.5000 0.0000
Cl2 0.5000 0.0000 0.0000

Values from the calculation:
Density of states at the Fermi level ... 0.90 states/eV/atom
SG ... P4/mmm (123)
Magnetic moment ... 3.24 μB per formula unit
Final energy ... -0.3726 Ry/atom
Formation energy without anion corrections ... 6.32 eV/f.u.

Record 5
RuPbBr2 | GGA-PBEsol | relaxed

Cell: 3.6765 3.6765 7.3085 Å, 90.00 90.00 90.00°
Sites, in units of the cell vectors:
Ru1 0.0000 0.0000 0.0000
Pb1 0.5000 0.5000 0.8428
Br1 0.0000 0.0000 0.6118
Br2 0.5000 0.5000 0.2310

Values from the calculation:
Density of states at the Fermi level ... 0.84 states/eV/atom
SG ... P4mm (99)
Magnetic moment ... 2.02 μB per formula unit
Final energy ... -0.3033 Ry/atom
Formation energy without anion corrections ... 1.40 eV/f.u.

Record 6
Tl2SbCl | GGA-PBEsol | relaxed

Cell: 3.4348 3.4348 9.1737 Å, 90.00 90.00 90.00°
Sites, in units of the cell vectors:
Tl1 0.0000 0.0000 0.2226
Tl2 0.0000 0.0000 0.7774
Sb1 0.5000 0.5000 0.5000
Cl1 0.5000 0.5000 0.0000

Values from the calculation:
Density of states at the Fermi level ... 0.46 states/eV/atom
SG ... P4/mmm (123)
Magnetic moment ... 0.00 μB per formula unit
Final energy ... -0.2412 Ry/atom
Formation energy without anion corrections ... -1.30 eV/f.u.

Record 7
WC2 | GGA-PBEsol | relaxed

Cell: 3.3120 3.3120 2.7628 Å, 90.00 90.00 120.00°
Sites, in units of the cell vectors:
W1 0.0000 0.0000 0.0000
C1 0.3333 0.6667 0.5000
C2 0.6667 0.3333 0.5000

Values from the calculation:
Density of states at the Fermi level ... 0.77 states/eV/atom
SG ... P6/mmm (191)
Magnetic moment ... 0.00 μB per formula unit
Final energy ... -0.6633 Ry/atom
ΔE_f ... 2.007 eV/atom

Record 8
ScCdFe4 | GGA-PBEsol | relaxed

Cell: 4.8373 4.8373 4.8373 Å, 60.00 60.00 60.00°
Sites, in units of the cell vectors:
Sc1 0.0000 0.0000 0.0000
Cd1 0.7500 0.7500 0.7500
Fe1 0.3754 0.3754 0.3754
Fe2 0.3754 0.3754 0.8737
Fe3 0.3754 0.8737 0.3754
Fe4 0.8737 0.3754 0.3754

Values from the calculation:
Density of states at the Fermi level ... 1.08 states/eV/atom
SG ... F-43m (216)
Magnetic moment ... 6.93 μB per formula unit
Final energy ... -0.5392 Ry/atom
ΔE_f ... -0.060 eV/atom

Record 9
CdTcO2F | GGA-PBEsol | relaxed

Cell: 3.8156 3.8156 4.2680 Å, 90.00 90.00 90.00°
Sites, in units of the cell vectors:
Cd1 0.0000 0.0000 0.0000
Tc1 0.5000 0.5000 0.5000
O1 0.0000 0.5000 0.5000
O2 0.5000 0.0000 0.5000
F1 0.5000 0.5000 0.0000

Values from the calculation:
Density of states at the Fermi level ... 0.46 states/eV/atom
SG ... P4/mmm (123)
Magnetic moment ... 0.00 μB per formula unit
Final energy ... -0.4471 Ry/atom
Formation energy without anion corrections ... -5.53 eV/f.u.

Record 10
Ir2PbAu | GGA-PBEsol | relaxed

Cell: 3.0727 3.0727 7.1528 Å, 90.00 90.00 90.00°
Sites, in units of the cell vectors:
Ir1 0.0000 0.0000 0.2399
Ir2 0.0000 0.0000 0.7601
Pb1 0.5000 0.5000 0.5000
Au1 0.5000 0.5000 0.0000

Values from the calculation:
Density of states at the Fermi level ... 1.15 states/eV/atom
SG ... P4/mmm (123)
Magnetic moment ... 0.00 μB per formula unit
Final energy ... -0.4627 Ry/atom
ΔE_f ... 0.598 eV/atom

Record 11
NdGa3Cu | GGA-PBEsol | relaxed

Cell: 5.9953 5.9953 5.9953 Å, 139.74 139.74 58.25°
Sites, in units of the cell vectors:
Nd1 0.0000 0.0000 0.0000
Ga1 0.2500 0.7500 0.5000
Ga2 0.3829 0.3829 0.0000
Ga3 0.6171 0.6171 0.0000
Cu1 0.7500 0.2500 0.5000

Values from the calculation:
Density of states at the Fermi level ... 0.26 states/eV/atom
SG ... I-4m2 (119)
Magnetic moment ... 0.00 μB per formula unit
Final energy ... -0.3272 Ry/atom
ΔE_f ... -0.548 eV/atom

Record 12
MgCu4Se2 | GGA-PBEsol | relaxed

Cell: 8.5953 8.5953 8.5953 Å, 26.31 26.31 26.31°
Sites, in units of the cell vectors:
Mg1 0.0000 0.0000 0.0000
Cu1 0.1750 0.1750 0.1750
Cu2 0.4485 0.4485 0.4485
Cu3 0.5515 0.5515 0.5515
Cu4 0.8250 0.8250 0.8250
Se1 0.2727 0.2727 0.2727
Se2 0.7273 0.7273 0.7273

Values from the calculation:
Density of states at the Fermi level ... 0.14 states/eV/atom
SG ... R-3m (166)
Magnetic moment ... 0.00 μB per formula unit
Final energy ... -0.3000 Ry/atom
Formation energy without anion corrections ... -1.82 eV/f.u.